First-principles (PBE-GGA) data for MnZnAu2 after structural relaxation, as listed in Alexandria via LeMat-Bulk.

Lattice parameters (Å, degrees): 3.931 3.931 9.726 78.34 78.34 90.00
Site moments in Bohr magnetons follow the coordinates.
Atoms (fractional coordinates):
Zn: 0.000 0.000 0.000  -0.05
Zn: 0.750 0.250 0.500  -0.05
Au: 0.875 0.878 0.750  0.03
Au: 0.122 0.625 0.250  0.02
Au: 0.375 0.372 0.750  0.03
Au: 0.628 0.125 0.250  0.02
Mn: 0.250 0.750 0.500  3.84
Mn: 0.500 0.500 0.000  3.83

Calculated values
- Crystal system: tetragonal
- Formation energy from the elements: 0.1610 eV/atom
- Density: 11.86 Mg/m³

---

First-principles (PBE-GGA) data for NpBeH6 after structural relaxation, as listed in Alexandria via LeMat-Bulk.

Lattice parameters (Å, degrees): 3.880 3.880 3.894 98.11 98.11 98.40
Site moments in Bohr magnetons follow the coordinates.
Atoms (fractional coordinates):
H: 0.296 0.944 0.296  -0.02
H: 0.704 0.056 0.704  -0.02
H: 0.703 0.703 0.054  -0.02
H: 0.944 0.296 0.296  -0.02
H: 0.297 0.297 0.946  -0.02
H: 0.056 0.704 0.704  -0.02
Np: 0.500 0.500 0.500  3.06
Be: 0.000 0.000 0.000  -0.01

Calculated values
- Crystal system: monoclinic
- Raw total energy: -0.344 Ry/atom
- Density: 7.39 Mg/m³

---

Q: density of number 2 (NpBeH6)?
A: 7.39 Mg/m³